No. 1
Au2ClO after structural relaxation. Source: Alexandria, functional PBE.

Formation energy from raw total energies in eV per formula unit: 0.8
D(E_F) in states/eV per cell: 8.214
Raw total energy in eV per atom: -3.134
Distance to the lowest polymorph of the same formula in meV/atom: 0

a b c (Å): 5.1765 5.1765 12.8403
angles (deg): 90.00 90.00 90.00
Closest atoms and distances in Å follow each position.
Space group I-42d (No. 122)
Inequivalent atoms, fractional coordinates:
Au  0.0899  0.2500  0.1250  2 O 2.11
Cl  0.0000  0.0000  0.5000  4 Au 2.96
O  0.0000  0.0000  0.0000  4 Au 2.11


No. 2
SrAcEuTm after structural relaxation. Source: Alexandria, functional PBE.

D(E_F) in states/eV per cell: 22.239
Raw total energy in eV per atom: -4.962

a b c (Å): 8.7223 8.7223 8.7223
angles (deg): 90.00 90.00 90.00
Closest atoms and distances in Å follow each position.
Space group F-43m (No. 216)
Inequivalent atoms, fractional coordinates:
Sr  0.0000  0.0000  0.0000  4 Eu 3.78, 4 Ac 3.78
Ac  0.2500  0.2500  0.2500  4 Tm 3.78, 4 Sr 3.78
Eu  0.2500  0.2500  0.7500  4 Tm 3.78, 4 Sr 3.78
Tm  0.0000  0.0000  0.5000  4 Ac 3.78, 4 Eu 3.78


No. 3
PmHo3 after structural relaxation. Source: Alexandria, functional PBE.

D(E_F) in states/eV per cell: 5.635
Raw total energy in eV per atom: -4.600
Distance to the lowest polymorph of the same formula in meV/atom: 11

a b c (Å): 5.0258 5.0258 5.0258
angles (deg): 90.00 90.00 90.00
Closest atoms and distances in Å follow each position.
Space group Pm-3m (No. 221)
Inequivalent atoms, fractional coordinates:
Pm  0.0000  0.0000  0.0000  12 Ho 3.55
Ho  0.0000  0.5000  0.5000  8 Ho 3.55, 4 Pm 3.55


No. 4
La2YMn after structural relaxation. Source: Alexandria, functional PBE.

D(E_F) in states/eV per cell: 22.686
Raw total energy in eV per atom: -6.055
Distance to the lowest polymorph of the same formula in meV/atom: 162

a b c (Å): 7.7611 7.7611 7.7611
angles (deg): 90.00 90.00 90.00
Closest atoms and distances in Å follow each position.
Space group F-43m (No. 216)
Inequivalent atoms, fractional coordinates:
La  0.0000  0.0000  0.0000  4 La 3.36, 4 Y 3.36
La  0.2500  0.2500  0.2500  4 Mn 3.36, 4 La 3.36
Y  0.2500  0.2500  0.7500  4 Mn 3.36, 4 La 3.36
Mn  0.0000  0.0000  0.5000  4 La 3.36, 4 Y 3.36